Record 1
4
Lattice="0.000 3.669 3.669 3.669 0.000 3.669 3.669 3.669 0.000" Properties=species:S:1:pos:R:3 comment="PmNdCdIr, optimized geometry, DFT PBE" ef_mev_per_atom=-428 final_energy_ha_per_atom=-0.193 pbc="T T T"
Pm 0.000 0.000 0.000
Nd 3.669 3.669 3.669
Cd 5.503 5.503 5.503
Ir 1.834 1.834 1.834



Record 2
10
Lattice="4.686 -2.706 0.000 4.686 2.706 0.000 -0.009 0.000 4.940" Properties=species:S:1:pos:R:3 comment="AcSiN3, optimized geometry, DFT PBE" formation_energy_uncorrected_ev_per_atom=-0.456 final_energy_ha_per_atom=-0.270 pbc="T T T"
Ac 1.560 0.000 1.235
Ac 7.804 0.000 3.705
Si 4.686 0.000 0.000
Si 4.682 0.000 2.470
N 3.970 1.237 1.234
N 3.251 0.000 3.702
N 5.394 1.237 3.706
N 3.970 -1.237 1.234
N 6.113 0.000 1.238
N 5.394 -1.237 3.706